Entry 1:
Material: PrPbO3
Method: DFT, PBE
State: optimized geometry

Cell lengths 6.195, 6.195, 6.051 Å; angles 118.70, 118.70, 90.75 degrees
Atoms (fractional coordinates):
Pr: 0.000 0.500 0.000
Pr: 0.500 0.000 0.000
Pb: 0.249 0.249 0.449
Pb: 0.751 0.751 0.551
O: 0.150 0.850 0.000
O: 0.250 0.250 0.819
O: 0.347 0.653 0.500
O: 0.653 0.347 0.500
O: 0.750 0.750 0.181
O: 0.850 0.150 0.000

Computed properties:
For the total energy, the calculation gives -33.117 eV/f.u.



Entry 2:
Material: PrRePb2O6
Method: DFT, PBE
State: optimized geometry

Cell lengths 5.200, 5.313, 5.961 Å; angles 89.09, 88.39, 73.46 degrees
Atoms (fractional coordinates):
Pr: 0.000 0.000 0.000
Re: 0.500 0.500 0.000
Pb: 0.322 0.315 0.506
Pb: 0.678 0.685 0.494
O: 0.284 0.698 0.268
O: 0.289 0.698 0.734
O: 0.290 0.273 0.007
O: 0.710 0.727 0.993
O: 0.711 0.302 0.266
O: 0.716 0.302 0.732

Computed properties:
For the total energy, the calculation gives -71.100 eV/f.u.



Entry 3:
Material: Pr2Pb2S2O5
Method: DFT, PBE
State: optimized geometry

Cell lengths 12.813, 12.813, 12.813 Å; angles 161.73, 161.73, 25.94 degrees
Atoms (fractional coordinates):
Pr: 0.175 0.175 0.000
Pr: 0.825 0.825 0.000
Pb: 0.418 0.418 0.000
Pb: 0.582 0.582 0.000
S: 0.292 0.292 0.000
S: 0.708 0.708 0.000
O: 0.113 0.613 0.500
O: 0.387 0.887 0.500
O: 0.500 0.500 0.000
O: 0.613 0.113 0.500
O: 0.887 0.387 0.500

Computed properties:
For the total energy, the calculation gives -68.045 eV/f.u.



Entry 4:
Material: Pr2Pb2Se2O3
Method: DFT, PBE
State: optimized geometry

Cell lengths 9.575, 9.575, 9.575 Å; angles 151.92, 151.92, 40.13 degrees
Atoms (fractional coordinates):
Pr: 0.203 0.203 0.000
Pr: 0.797 0.797 0.000
Pb: 0.000 0.500 0.500
Pb: 0.500 0.000 0.500
Se: 0.382 0.382 0.000
Se: 0.618 0.618 0.000
O: 0.000 0.000 0.000
O: 0.250 0.750 0.500
O: 0.750 0.250 0.500

Computed properties:
For the total energy, the calculation gives -54.209 eV/f.u.